Record 1
Here is ThSc5Rh4 after structural relaxation from Alexandria. Energies are from PBE-GGA.

It has space group P4/mmm (No. 123), with a = 3.252 Å, b = 3.252 Å, c = 17.912 Å, α = 90.00°, β = 90.00° and γ = 90.00°. Symmetry generates all atoms from Th at (0.000, 0.000, 0.000), Sc at (0.500, 0.500, 0.142), Sc at (0.500, 0.500, 0.320), Sc at (0.500, 0.500, 0.500), Rh at (0.000, 0.000, 0.229) and Rh at (0.000, 0.000, 0.410).

The calculation puts the total moment at 0.0 μB/f.u. For the uncorrected energy, the calculation gives -7.666 eV per atom. The energy of formation from the pure elements is -817 meV per atom.

Record 2
Here is Er8BTe3S3 after structural relaxation from Alexandria. Energies are from PBE-GGA.

It has space group C2/m (No. 12), with a = 13.747 Å, b = 7.930 Å, c = 8.355 Å, α = 90.00°, β = 123.26° and γ = 90.00°. Symmetry generates all atoms from Er at (0.011, 0.233, 0.301), Er at (0.222, 0.000, 0.699), Er at (0.234, 0.500, 0.701), B at (0.000, 0.000, 0.500), Te at (0.000, 0.000, 0.000), Te at (0.250, 0.250, 0.000), S at (0.000, 0.500, 0.500) and S at (0.250, 0.250, 0.500).

The calculation puts the total moment at 0.0 μB/f.u. The formation energy (no corrections) comes out at -1327 meV per atom. For the uncorrected energy, the calculation gives -5.660 eV per atom.

Record 3
Here is YHfTcRh after structural relaxation from Alexandria. Energies are from PBE-GGA.

It has space group F-43m (No. 216), with a = 6.675 Å, b = 6.675 Å, c = 6.675 Å, α = 90.00°, β = 90.00° and γ = 90.00°. Symmetry generates all atoms from Y at (0.000, 0.000, 0.000), Hf at (0.000, 0.000, 0.500), Tc at (0.250, 0.250, 0.750) and Rh at (0.250, 0.250, 0.250).

The calculation puts the total moment at 0.0 μB/f.u. For the uncorrected energy, the calculation gives -9.044 eV per atom. The energy of formation from the pure elements is -510 meV per atom.

Record 4
Here is Li2Ga2Cu5Au3 after structural relaxation from Alexandria. Energies are from PBE-GGA.

It has space group I4/mmm (No. 139), with a = 3.603 Å, b = 3.603 Å, c = 28.204 Å, α = 90.00°, β = 90.00° and γ = 90.00°. Symmetry generates all atoms from Li at (0.000, 0.000, 0.228), Ga at (0.000, 0.000, 0.137), Cu at (0.000, 0.000, 0.000), Cu at (0.000, 0.500, 0.072), Au at (0.000, 0.000, 0.325) and Au at (0.000, 0.000, 0.500).

The calculation puts the total moment at 0.0 μB/f.u. For the uncorrected energy, the calculation gives -3.476 eV per atom. The energy of formation from the pure elements is -127 meV per atom.

Record 5
Here is LaCeZn2 after structural relaxation from Alexandria. Energies are from PBE-GGA.

It has space group Pmmn (No. 59, origin choice 2), with a = 4.881 Å, b = 7.368 Å, c = 5.306 Å, α = 90.00°, β = 90.00° and γ = 90.00°. Symmetry generates all atoms from La at (0.250, 0.250, 0.180), Ce at (0.250, 0.750, 0.194) and Zn at (0.250, 0.000, 0.666).

The calculation puts the total moment at 0.4 μB/f.u. For the uncorrected energy, the calculation gives -3.583 eV per atom. The excess energy over the best structure of this formula in the dataset is 9 meV/atom. The energy of formation from the pure elements is -231 meV per atom.

Record 6
Here is Tb6ErAl2 after structural relaxation from Alexandria. Energies are from PBE-GGA.

It has space group I-42m (No. 121), with a = 4.778 Å, b = 4.778 Å, c = 27.703 Å, α = 90.00°, β = 90.00° and γ = 90.00°. Symmetry generates all atoms from Tb at (0.000, 0.500, 0.250), Tb at (0.247, 0.247, 0.103), Er at (0.000, 0.000, 0.000) and Al at (0.000, 0.000, 0.315).

The calculation puts the total moment at 0.0 μB/f.u. For the uncorrected energy, the calculation gives -3.904 eV per atom. The excess energy over the best structure of this formula in the dataset is 685 meV/atom. The energy of formation from the pure elements is 522 meV per atom.

Record 7
Here is Pm2PuPt3 after structural relaxation from Alexandria. Energies are from PBE-GGA.

It has space group P4/mmm (No. 123), with a = 3.541 Å, b = 3.541 Å, c = 10.789 Å, α = 90.00°, β = 90.00° and γ = 90.00°. Symmetry generates all atoms from Pm at (0.000, 0.000, 0.170), Pu at (0.000, 0.000, 0.500), Pt at (0.500, 0.500, 0.000) and Pt at (0.500, 0.500, 0.335).

The calculation puts the total moment at 5.6 μB/f.u. For the uncorrected energy, the calculation gives -7.949 eV per atom. The energy of formation from the pure elements is -957 meV per atom.

Record 8
Here is Nd3HoH after structural relaxation from Alexandria. Energies are from PBE-GGA.

It has space group Pm-3m (No. 221), with a = 5.139 Å, b = 5.139 Å, c = 5.139 Å, α = 90.00°, β = 90.00° and γ = 90.00°. Symmetry generates all atoms from Nd at (0.000, 0.000, 0.500), Ho at (0.500, 0.500, 0.500) and H at (0.000, 0.000, 0.000).

The calculation puts the total moment at 0.0 μB/f.u. For the uncorrected energy, the calculation gives -4.612 eV per atom.

Record 9
Here is BaGaH3 after structural relaxation from Alexandria. Energies are from PBE-GGA.

It has space group Pm-3m (No. 221), with a = 4.974 Å, b = 4.974 Å, c = 4.974 Å, α = 90.00°, β = 90.00° and γ = 90.00°. Symmetry generates all atoms from Ba at (0.000, 0.000, 0.000), Ga at (0.500, 0.500, 0.500) and H at (0.000, 0.000, 0.500).

The calculation puts the total moment at 0.0 μB/f.u. For the uncorrected energy, the calculation gives -2.715 eV per atom. The excess energy over the best structure of this formula in the dataset is 501 meV/atom.

Record 10
Here is Ba2LiNiN after structural relaxation from Alexandria. Energies are from PBE-GGA.

It has space group P4/mmm (No. 123), with a = 5.882 Å, b = 5.882 Å, c = 3.619 Å, α = 90.00°, β = 90.00° and γ = 90.00°. Symmetry generates all atoms from Ba at (0.000, 0.500, 0.000), Li at (0.000, 0.000, 0.500), Ni at (0.500, 0.500, 0.500) and N at (0.500, 0.500, 0.000).

The calculation puts the total moment at 0.0 μB/f.u. The formation energy (no corrections) comes out at -203 meV per atom. For the uncorrected energy, the calculation gives -4.176 eV per atom.

Record 11
Here is Dy5TeRh2 after structural relaxation from Alexandria. Energies are from PBE-GGA.

It has space group I4/mcm (No. 140), with a = 7.740 Å, b = 7.740 Å, c = 13.519 Å, α = 90.00°, β = 90.00° and γ = 90.00°. Symmetry generates all atoms from Dy at (0.000, 0.000, 0.000), Dy at (0.155, 0.345, 0.136), Te at (0.000, 0.000, 0.250) and Rh at (0.142, 0.358, 0.500).

The calculation puts the total moment at 0.0 μB/f.u. The formation energy (no corrections) comes out at -820 meV per atom. For the uncorrected energy, the calculation gives -5.927 eV per atom.

Record 12
Here is Pm2DyIn4 after structural relaxation from Alexandria. Energies are from PBE-GGA.

It has space group I4/mmm (No. 139), with a = 5.293 Å, b = 5.293 Å, c = 14.889 Å, α = 90.00°, β = 90.00° and γ = 90.00°. Symmetry generates all atoms from Pm at (0.000, 0.000, 0.248), Dy at (0.000, 0.000, 0.500) and In at (0.000, 0.500, 0.111).

The calculation puts the total moment at 0.0 μB/f.u. For the uncorrected energy, the calculation gives -3.905 eV per atom. The energy of formation from the pure elements is -326 meV per atom.

Record 13
Here is Sc3GeO2 after structural relaxation from Alexandria. Energies are from PBE-GGA.

It has space group P2_1/m (No. 11), with a = 5.378 Å, b = 3.499 Å, c = 11.173 Å, α = 90.00°, β = 92.05° and γ = 90.00°. Symmetry generates all atoms from Sc at (0.205, 0.250, 0.254), Sc at (0.215, 0.250, 0.570), Sc at (0.241, 0.750, 0.995), Ge at (0.397, 0.250, 0.804), O at (0.001, 0.750, 0.593) and O at (0.115, 0.250, 0.077).

The calculation puts the total moment at 0.0 μB/f.u. The formation energy (no corrections) comes out at -2115 meV per atom. For the uncorrected energy, the calculation gives -7.703 eV per atom.

Record 14
Here is Pm3Sn3Ru after structural relaxation from Alexandria. Energies are from PBE-GGA.

It has space group C2/m (No. 12), with a = 11.438 Å, b = 4.518 Å, c = 15.321 Å, α = 90.00°, β = 108.66° and γ = 90.00°. Symmetry generates all atoms from Pm at (0.020, 0.000, 0.382), Pm at (0.101, 0.000, 0.921), Pm at (0.238, 0.000, 0.242), Sn at (0.026, 0.500, 0.235), Sn at (0.122, 0.500, 0.076), Sn at (0.152, 0.500, 0.535) and Ru at (0.242, 0.500, 0.383).

The calculation puts the total moment at 0.0 μB/f.u. For the uncorrected energy, the calculation gives -5.728 eV per atom. The energy of formation from the pure elements is -651 meV per atom.

Record 15
Here is MgSb2F after structural relaxation from Alexandria. Energies are from PBE-GGA.

It has space group I-42d (No. 122), with a = 4.177 Å, b = 4.177 Å, c = 21.590 Å, α = 90.00°, β = 90.00° and γ = 90.00°. Symmetry generates all atoms from Mg at (0.000, 0.000, 0.000), Sb at (0.248, 0.250, 0.125) and F at (0.000, 0.000, 0.500).

The calculation puts the total moment at 0.0 μB/f.u. The formation energy (no corrections) comes out at -618 meV per atom. For the uncorrected energy, the calculation gives -3.546 eV per atom. The excess energy over the best structure of this formula in the dataset is 0 meV/atom.

Record 16
Here is ZrPa2CoS5 after structural relaxation from Alexandria. Energies are from PBE-GGA.

It has space group Cmc2_1 (No. 36), with a = 3.664 Å, b = 15.860 Å, c = 11.461 Å, α = 90.00°, β = 90.00° and γ = 90.00°. Symmetry generates all atoms from Zr at (0.000, 0.175, 0.000), Pa at (0.000, 0.108, 0.329), Pa at (0.000, 0.118, 0.682), Co at (0.000, 0.442, 0.398), S at (0.000, 0.015, 0.997), S at (0.000, 0.304, 0.666), S at (0.000, 0.311, 0.342), S at (0.000, 0.343, 0.002) and S at (0.000, 0.496, 0.731).

The calculation puts the total moment at 0.1 μB/f.u. The formation energy (no corrections) comes out at -1463 meV per atom. For the uncorrected energy, the calculation gives -7.606 eV per atom.

Record 17
Here is Ta4SnSe8 after structural relaxation from Alexandria. Energies are from PBE-GGA.

It has space group F-43m (No. 216), with a = 10.680 Å, b = 10.680 Å, c = 10.680 Å, α = 90.00°, β = 90.00° and γ = 90.00°. Symmetry generates all atoms from Ta at (0.101, 0.101, 0.101), Sn at (0.000, 0.000, 0.500), Se at (0.134, 0.134, 0.866) and Se at (0.143, 0.143, 0.357).

The calculation puts the total moment at 0.0 μB/f.u. The formation energy (no corrections) comes out at -666 meV per atom. For the uncorrected energy, the calculation gives -6.765 eV per atom. The excess energy over the best structure of this formula in the dataset is 0 meV/atom.

Record 18
Here is Na3ZnIr after structural relaxation from Alexandria. Energies are from PBE-GGA.

It has space group Pm-3m (No. 221), with a = 5.166 Å, b = 5.166 Å, c = 5.166 Å, α = 90.00°, β = 90.00° and γ = 90.00°. Symmetry generates all atoms from Na at (0.000, 0.000, 0.500), Zn at (0.000, 0.000, 0.000) and Ir at (0.500, 0.500, 0.500).

The calculation puts the total moment at 0.3 μB/f.u. For the uncorrected energy, the calculation gives -1.779 eV per atom. The excess energy over the best structure of this formula in the dataset is 292 meV/atom. The energy of formation from the pure elements is 1040 meV per atom.

Record 19
Here is TlMoI2N after structural relaxation from Alexandria. Energies are from PBE-GGA.

It has space group P4/mmm (No. 123), with a = 6.204 Å, b = 6.204 Å, c = 4.180 Å, α = 90.00°, β = 90.00° and γ = 90.00°. Symmetry generates all atoms from Tl at (0.000, 0.000, 0.000), Mo at (0.500, 0.500, 0.500), I at (0.000, 0.500, 0.000) and N at (0.000, 0.000, 0.500).

The calculation puts the total moment at 3.7 μB/f.u. The formation energy (no corrections) comes out at 1506 meV per atom. For the uncorrected energy, the calculation gives -3.419 eV per atom. The excess energy over the best structure of this formula in the dataset is 1454 meV/atom.

Record 20
Here is La4ZnCl5 after structural relaxation from Alexandria. Energies are from PBE-GGA.

It has space group C2/m (No. 12), with a = 18.300 Å, b = 4.087 Å, c = 8.822 Å, α = 90.00°, β = 102.81° and γ = 90.00°. Symmetry generates all atoms from La at (0.004, 0.000, 0.246), La at (0.166, 0.500, 0.076), Zn at (0.000, 0.500, 0.000), Cl at (0.000, 0.500, 0.500), Cl at (0.165, 0.000, 0.831) and Cl at (0.169, 0.000, 0.313).

The calculation puts the total moment at 0.0 μB/f.u. The formation energy (no corrections) comes out at -1631 meV per atom. For the uncorrected energy, the calculation gives -4.653 eV per atom.

Record 21
Here is Nd2TmCuS5 after structural relaxation from Alexandria. Energies are from PBE-GGA.

It has space group Cmc2_1 (No. 36), with a = 3.906 Å, b = 16.808 Å, c = 11.627 Å, α = 90.00°, β = 90.00° and γ = 90.00°. Symmetry generates all atoms from Nd at (0.000, 0.109, 0.000), Nd at (0.000, 0.123, 0.624), Tm at (0.000, 0.195, 0.324), Cu at (0.000, 0.442, 0.768), S at (0.000, 0.044, 0.373), S at (0.000, 0.289, 0.984), S at (0.000, 0.312, 0.664), S at (0.000, 0.356, 0.315) and S at (0.000, 0.499, 0.093).

The calculation puts the total moment at 0.0 μB/f.u. The formation energy (no corrections) comes out at -1759 meV per atom. For the uncorrected energy, the calculation gives -6.063 eV per atom.